# 1
The following is a DFT calculation (PBE) of a relaxed structure of CaAlIn2.

Lattice parameters (Å, degrees): 9.985 9.985 9.985 20.26 20.26 20.26
Element x y z (fractional)
Ca  0.000  0.000  0.000
Al  0.500  0.500  0.500
In  0.244  0.244  0.244
In  0.756  0.756  0.756

Total moment ... 0.00 μB per cell
Energy of formation from the pure elements ... -3 meV/atom
Density ... 4.7 g/cm³



# 2
The following is a DFT calculation (PBE) of a relaxed structure of CsRb2MnBr5.

Lattice parameters (Å, degrees): 10.262 10.262 10.262 124.42 124.42 82.49
Element x y z (fractional)
Cs  0.250  0.250  0.000
Cs  0.750  0.750  0.000
Rb  0.164  0.664  0.827
Rb  0.336  0.164  0.500
Rb  0.664  0.836  0.500
Rb  0.836  0.336  0.173
Mn  0.250  0.750  0.500
Mn  0.750  0.250  0.500
Br  0.000  0.000  0.000
Br  0.005  0.793  0.500
Br  0.207  0.707  0.212
Br  0.293  0.505  0.500
Br  0.495  0.995  0.788
Br  0.500  0.500  0.000
Br  0.505  0.005  0.212
Br  0.707  0.495  0.500
Br  0.793  0.293  0.788
Br  0.995  0.207  0.500

Total moment ... 10.00 μB per cell
Uncorrected formation energy ... -1.47 eV/atom
Density ... 3.6 g/cm³



# 3
The following is a DFT calculation (PBE) of a relaxed structure of SrYBe4.

Lattice parameters (Å, degrees): 5.216 5.216 5.216 60.00 60.00 60.00
Element x y z (fractional)
Sr  0.000  0.000  0.000
Y  0.750  0.750  0.750
Be  0.387  0.387  0.387
Be  0.387  0.387  0.840
Be  0.387  0.840  0.387
Be  0.840  0.387  0.387

Total moment ... 0.00 μB per cell
Energy of formation from the pure elements ... 342 meV/atom
Density ... 3.5 g/cm³



# 4
The following is a DFT calculation (PBE) of a relaxed structure of K3ReAu.

Lattice parameters (Å, degrees): 6.204 6.204 6.204 90.00 90.00 90.00
Element x y z (fractional)
K  0.000  0.000  0.500
K  0.000  0.500  0.000
K  0.500  0.000  0.000
Re  0.500  0.500  0.500
Au  0.000  0.000  0.000

Total moment ... 3.47 μB per cell
Energy of formation from the pure elements ... 1220 meV/atom
Density ... 3.5 g/cm³